Computed, not measured: a PBEsol-optimized structure of Ta3Mo2 at the SCAN level of DFT.

Values from the calculation:
Symmetry: R-3m, No. 166
ΔE to the lowest computed polymorph, meV/atom: 49.0
V, Å³ per cell: 82.7
Total magnetization, μB/atom: 0.000
Final energy, eV/atom: -54.008
Calculated formation energy, eV per atom: -0.10

Structure (CIF):
```
data_Ta3Mo2
_space_group_name_H-M_alt 'P 1'
_space_group_IT_number 1
_cell_length_a 5.298
_cell_length_b 5.298
_cell_length_c 5.298
_cell_angle_alpha 50.92
_cell_angle_beta 50.92
_cell_angle_gamma 50.92
loop_
_space_group_symop_operation_xyz
'x,y,z'
loop_
_atom_site_label
_atom_site_type_symbol
_atom_site_fract_x
_atom_site_fract_y
_atom_site_fract_z
Ta1 Ta 0.000 0.000 0.000
Ta2 Ta 0.398 0.398 0.398
Ta3 Ta 0.602 0.602 0.602
Mo1 Mo 0.198 0.198 0.198
Mo2 Mo 0.802 0.802 0.802
```